No. 1
Here is a geometry-optimized TbSn2Ge structure from Alexandria. Energies are from GGA-PBE.

Structure (extended XYZ):
```
4
Lattice="-3.387 2.842 2.493 -4.899 -1.325 0.020 -1.655 -3.496 6.904" Properties=species:S:1:pos:R:3 pbc="T T T"
Ge 0.000 0.000 0.000
Sn -2.039 -2.106 4.797
Sn -7.902 0.127 4.620
Tb -4.971 -0.990 4.708
```

Computed properties:
**Symmetry**: R-3m, No. 166
**DOS(E_F)**: 3.32 states/eV per cell
**Calculated formation energy**: 0.401 eV/atom
**Volume**: 164.0 Å³ per cell

***

No. 2
Here is a geometry-optimized YIrBr structure from Alexandria. Energies are from GGA-PBE.

Structure (extended XYZ):
```
6
Lattice="-0.026 4.264 0.321 -3.391 1.998 1.674 3.286 1.375 10.480" Properties=species:S:1:pos:R:3 pbc="T T T"
Ir -1.227 5.910 6.852
Ir 1.096 1.727 5.623
Y 0.685 3.698 7.901
Y -0.815 3.939 4.574
Br -0.411 1.970 2.280
Br 0.281 5.667 10.195
```

Computed properties:
**E_tot**: -6.92 eV per atom
**Symmetry**: R-3m, No. 166
**DOS(E_F)**: 3.30 states/eV per cell
**Volume**: 170.9 Å³ per cell

***

No. 3
Here is a geometry-optimized CaSmBi2 structure from Alexandria. Energies are from GGA-PBE.

Structure (extended XYZ):
```
4
Lattice="3.502 0.000 0.000 0.000 5.934 0.000 0.000 0.000 5.934" Properties=species:S:1:pos:R:3 pbc="T T T"
Ca 1.751 2.967 2.967
Bi 0.000 0.000 2.967
Bi 0.000 2.967 0.000
Sm 1.751 0.000 0.000
```

Computed properties:
**Symmetry**: P4/mmm, No. 123
**DOS(E_F)**: 2.35 states/eV per cell
**Calculated formation energy**: -0.717 eV/atom
**Volume**: 123.3 Å³ per cell

***

No. 4
Here is a geometry-optimized TlCu7S4 structure from Alexandria. Energies are from GGA-PBE.

Structure (extended XYZ):
```
48
Lattice="-3.483 4.284 5.231 -7.820 1.529 -6.459 -4.689 -8.336 3.704" Properties=species:S:1:pos:R:3 pbc="T T T"
Cu -12.957 -4.003 -1.033
Cu -3.127 -1.702 -0.689
Cu -7.466 0.341 1.492
Cu -2.271 0.539 2.362
Cu -14.778 -1.947 1.525
Cu -3.885 2.709 4.964
Cu -7.293 1.629 -4.901
Cu -10.072 -3.526 -0.020
Cu -7.037 -0.937 -3.918
Cu -5.852 -1.829 -1.110
Cu -9.389 1.413 -0.148
Cu -5.472 -5.870 1.164
Cu -7.773 -5.244 5.861
Cu -6.028 -7.438 3.366
Cu -12.175 -2.402 1.120
Cu -10.265 0.780 2.297
Cu -4.908 1.219 2.994
Cu -7.469 -3.980 -0.425
Cu -9.291 -1.925 2.133
Cu -6.654 -2.213 1.697
Cu -8.168 0.996 -2.456
Cu -8.399 -0.018 4.193
Cu -9.382 -5.106 -2.066
Cu -4.830 -0.339 0.860
Cu -7.693 -2.596 4.263
Cu -8.984 3.660 -2.236
Cu -6.734 -4.861 3.295
Cu -8.574 -1.251 -0.368
S -8.624 2.391 1.870
S -4.514 -5.672 3.128
S -4.567 -2.684 0.646
S -3.427 1.411 0.605
S -8.157 -3.918 1.819
S -6.311 -0.531 3.249
S -6.270 -3.539 5.740
S -8.934 0.018 -4.474
S -6.898 0.242 -0.749
S -11.629 -5.087 0.465
S -10.660 2.167 -1.855
S -8.880 -2.970 -1.992
S -10.618 -0.841 0.635
S -9.913 -1.784 4.430
S -13.367 -2.958 3.092
S -5.171 3.564 3.208
Tl -4.309 1.255 -2.631
Tl -3.682 -2.523 3.862
Tl -6.055 3.403 -0.007
Tl -5.429 -0.375 6.485
```

Computed properties:
**E_tot**: -4.13 eV per atom
**Symmetry**: P4/n, No. 85
**Volume**: 800.2 Å³ per cell

***

No. 5
Here is a geometry-optimized NaPa2Se4 structure from Alexandria. Energies are from GGA-PBE.

Structure (extended XYZ):
```
14
Lattice="8.529 0.289 -0.147 -0.326 8.527 0.147 -3.991 -4.511 6.060" Properties=species:S:1:pos:R:3 pbc="T T T"
Pa 4.047 6.515 1.551
Pa 2.215 -0.004 4.508
Pa 4.210 2.251 1.478
Pa -2.050 -0.149 4.581
Se 2.347 0.041 1.618
Se 2.178 4.310 1.405
Se 0.020 1.869 4.721
Se 4.410 -1.878 4.295
Se 6.074 4.460 1.338
Se 0.150 -2.028 4.654
Se 4.279 2.019 4.362
Se 6.243 0.192 1.551
Na -0.110 4.210 3.103
Na -3.989 -4.508 6.060
```

Computed properties:
**E_tot**: -6.16 eV per atom
**Symmetry**: C2/c, No. 15
**DOS(E_F)**: 27.38 states/eV per cell
**Volume**: 441.6 Å³ per cell

***

No. 6
Here is a geometry-optimized Ca2La2Ag structure from Alexandria. Energies are from GGA-PBE.

Structure (extended XYZ):
```
10
Lattice="7.848 0.000 0.000 0.000 7.848 0.000 0.000 0.000 5.980" Properties=species:S:1:pos:R:3 pbc="T T T"
Ca 2.600 1.324 2.990
Ca 5.248 6.524 2.990
Ca 6.524 2.600 2.990
Ca 1.324 5.248 2.990
La 2.836 6.760 0.000
La 6.760 5.012 0.000
La 5.012 1.088 0.000
La 1.088 2.836 0.000
Ag 0.000 0.000 0.000
Ag 3.924 3.924 0.000
```

Computed properties:
**Symmetry**: P4/mbm, No. 127
**DOS(E_F)**: 17.96 states/eV per cell
**Calculated formation energy**: 0.127 eV/atom
**Volume**: 368.3 Å³ per cell